Record 1
VASP calculation (GGA-PBE) on crystalline RbAg3WSe4 at its relaxed geometry.

## Properties
As for the space group: P-43m (215). The calculation puts the volume at 31.03 Å³/atom. The total energy is -4.269 eV per atom.

Cell lengths 6.536, 6.536, 6.536 Å; angles 90.00, 90.00, 90.00 degrees
Site moments in Bohr magnetons follow the coordinates.
Atoms (fractional coordinates):
Ag  0.500  0.500  0.000  0.06
Se  0.716  0.716  0.284  0.02
Ag  0.000  0.500  0.500  0.01
Rb  0.000  0.000  0.000  0.00
Se  0.284  0.284  0.284  0.03
Ag  0.500  0.000  0.500  0.04
W  0.500  0.500  0.500  1.30
Se  0.716  0.284  0.716  0.02
Se  0.284  0.716  0.716  0.02

***

Record 2
VASP calculation (GGA-PBE) on crystalline RbYAgSe3 at its relaxed geometry.

## Properties
As for the space group: Pnma (62). The calculation puts the volume at 29.82 Å³/atom. The total energy is -4.581 eV per atom.

Cell lengths 15.617, 4.150, 11.042 Å; angles 90.00, 90.00, 90.00 degrees
Atoms (fractional coordinates):
Ag  0.518  0.750  0.404
Ag  0.482  0.250  0.596
Rb  0.735  0.250  0.460
Se  0.139  0.750  0.263
Rb  0.235  0.250  0.040
Se  0.086  0.750  0.871
Y  0.975  0.750  0.657
Se  0.592  0.250  0.918
Y  0.525  0.250  0.157
Se  0.861  0.250  0.737
Se  0.639  0.750  0.237
Ag  0.018  0.750  0.096
Rb  0.765  0.750  0.960
Y  0.025  0.250  0.343
Se  0.408  0.750  0.082
Se  0.361  0.250  0.763
Se  0.586  0.750  0.629
Se  0.414  0.250  0.371
Se  0.914  0.250  0.129
Ag  0.982  0.250  0.904
Rb  0.265  0.750  0.540
Se  0.092  0.250  0.582
Se  0.908  0.750  0.418
Y  0.475  0.750  0.843

***

Record 3
VASP calculation (GGA-PBE) on crystalline RbYAgSe3 at its relaxed geometry.

## Properties
As for the space group: Cmcm (63). The calculation puts the volume at 28.84 Å³/atom. The total energy is -4.577 eV per atom.

Cell lengths 8.046, 8.046, 10.777 Å; angles 90.00, 90.00, 150.26 degrees
Atoms (fractional coordinates):
Se  0.572  0.428  0.250
Se  0.874  0.126  0.453
Y  0.500  0.500  0.000
Se  0.126  0.874  0.953
Rb  0.749  0.251  0.750
Se  0.874  0.126  0.047
Se  0.428  0.572  0.750
Ag  0.964  0.036  0.250
Ag  0.036  0.964  0.750
Se  0.126  0.874  0.547
Y  0.500  0.500  0.500
Rb  0.251  0.749  0.250

***

Record 4
VASP calculation (GGA-PBE) on crystalline Rb2ZrAg2Se4 at its relaxed geometry.

## Properties
As for the space group: C222 (21). The calculation puts the volume at 30.84 Å³/atom. The total energy is -4.331 eV per atom.

Cell lengths 7.709, 7.709, 6.271 Å; angles 90.00, 90.00, 131.86 degrees
Atoms (fractional coordinates):
Ag  0.500  0.500  0.000
Rb  0.000  0.500  0.741
Se  0.341  0.123  0.768
Se  0.659  0.877  0.768
Ag  0.000  0.000  0.500
Zr  0.000  0.000  0.000
Se  0.877  0.659  0.232
Rb  0.500  0.000  0.259
Se  0.123  0.341  0.232

***

Record 5
VASP calculation (GGA-PBE) on crystalline RbZrAg3Se4 at its relaxed geometry.

## Properties
As for the space group: P-43m (215). The calculation puts the volume at 31.08 Å³/atom. The total energy is -4.291 eV per atom.

Cell lengths 6.540, 6.540, 6.540 Å; angles 90.00, 90.00, 90.00 degrees
Atoms (fractional coordinates):
Se  0.276  0.276  0.276
Ag  0.000  0.500  0.500
Ag  0.500  0.500  0.000
Rb  0.000  0.000  0.000
Se  0.724  0.276  0.724
Se  0.724  0.724  0.276
Ag  0.500  0.000  0.500
Zr  0.500  0.500  0.500
Se  0.276  0.724  0.724

***

Record 6
VASP calculation (GGA-PBE) on crystalline RbSiAgTe3 at its relaxed geometry.

## Properties
As for the space group: Cmcm (63). The calculation puts the volume at 30.62 Å³/atom. The total energy is -3.304 eV per atom.

Cell lengths 8.614, 8.614, 11.539 Å; angles 90.00, 90.00, 154.58 degrees
Atoms (fractional coordinates):
Te  0.952  0.048  0.250
Si  0.000  0.000  0.000
Rb  0.261  0.739  0.250
Te  0.381  0.619  0.522
Te  0.619  0.381  0.478
Ag  0.580  0.420  0.250
Ag  0.420  0.580  0.750
Si  0.000  0.000  0.500
Te  0.381  0.619  0.978
Te  0.619  0.381  0.022
Rb  0.739  0.261  0.750
Te  0.048  0.952  0.750

***

Record 7
VASP calculation (GGA-PBE) on crystalline RbAgSn at its relaxed geometry.

## Properties
As for the space group: F-43m (216). The calculation puts the volume at 40.79 Å³/atom. The value obtained for the energy above the most stable polymorph in this dataset is 15.027 kcal/mol of atoms.

Cell lengths 5.573, 5.573, 5.573 Å; angles 60.00, 60.00, 60.00 degrees
Atoms (fractional coordinates):
Rb  0.000  0.000  0.000
Sn  0.750  0.750  0.750
Ag  0.250  0.250  0.250

***

Record 8
VASP calculation (GGA-PBE) on crystalline RbAgSn at its relaxed geometry.

## Properties
As for the space group: P3m1 (156). The calculation puts the volume at 28.91 Å³/atom. The value obtained for the energy above the most stable polymorph in this dataset is 0.000 kcal/mol of atoms.

Cell lengths 5.348, 5.348, 10.502 Å; angles 90.00, 90.00, 120.00 degrees
Atoms (fractional coordinates):
Ag  0.667  0.333  0.490
Rb  0.333  0.667  0.997
Rb  0.333  0.667  0.331
Sn  0.667  0.333  0.828
Ag  0.000  0.000  0.815
Ag  0.000  0.000  0.186
Sn  0.667  0.333  0.169
Sn  0.000  0.000  0.485
Rb  0.333  0.667  0.657

***

Record 9
VASP calculation (GGA-PBE) on crystalline RbAgSn at its relaxed geometry.

## Properties
As for the space group: F-43m (216). The calculation puts the volume at 35.02 Å³/atom. The value obtained for the energy above the most stable polymorph in this dataset is 3.796 kcal/mol of atoms.

Cell lengths 5.296, 5.296, 5.296 Å; angles 60.00, 60.00, 60.00 degrees
Atoms (fractional coordinates):
Sn  0.750  0.750  0.750
Ag  0.000  0.000  0.000
Rb  0.250  0.250  0.250

***

Record 10
VASP calculation (GGA-PBE) on crystalline RbAg3SnTe4 at its relaxed geometry.

## Properties
As for the space group: P-43m (215). The calculation puts the volume at 38.86 Å³/atom. The total energy is -3.088 eV per atom.

Cell lengths 7.046, 7.046, 7.046 Å; angles 90.00, 90.00, 90.00 degrees
Atoms (fractional coordinates):
Ag  0.500  0.500  0.000
Ag  0.500  0.000  0.500
Te  0.276  0.724  0.724
Te  0.724  0.276  0.724
Te  0.276  0.276  0.276
Sn  0.500  0.500  0.500
Te  0.724  0.724  0.276
Rb  0.000  0.000  0.000
Ag  0.000  0.500  0.500

***

Record 11
VASP calculation (GGA-PBE) on crystalline RbTaAg at its relaxed geometry.

## Properties
As for the space group: F-43m (216). The calculation puts the volume at 36.68 Å³/atom. The value obtained for the energy above the most stable polymorph in this dataset is 13.689 kcal/mol of atoms.

Cell lengths 5.379, 5.379, 5.379 Å; angles 60.00, 60.00, 60.00 degrees
Atoms (fractional coordinates):
Ta  0.750  0.750  0.750
Rb  0.000  0.000  0.000
Ag  0.250  0.250  0.250

***

Record 12
VASP calculation (GGA-PBE) on crystalline RbTaAg at its relaxed geometry.

## Properties
As for the space group: F-43m (216). The calculation puts the volume at 32.08 Å³/atom. The value obtained for the energy above the most stable polymorph in this dataset is 0.000 kcal/mol of atoms.

Cell lengths 5.144, 5.144, 5.144 Å; angles 60.00, 60.00, 60.00 degrees
Atoms (fractional coordinates):
Rb  0.250  0.250  0.250
Ag  0.000  0.000  0.000
Ta  0.750  0.750  0.750